Entry 1:
DFT (GGA-PBE) results for NaYAs2 after structural relaxation.

Output
Total magnetization   0.0 μB/f.u.
Mass density   4.8 g cm⁻³
ΔH_f (0 K)   -2.5 eV per formula unit
Energy above the most stable polymorph in this dataset   0 kJ/mol of formula units

Cell: 5.0238 5.0238 5.0238 Å, 60.00 60.00 60.00°
Fractional coordinates of all 4 atoms:
Na 0.0000 0.0000 0.0000
Y 0.5000 0.5000 0.5000
As 0.2500 0.2500 0.2500
As 0.7500 0.7500 0.7500

***

Entry 2:
DFT (GGA-PBE) results for NaYAs3 after structural relaxation.

Output
Total magnetization   0.0 μB/f.u.
Mass density   4.6 g cm⁻³
ΔH_f (0 K)   1.5 eV per formula unit
Energy above the most stable polymorph in this dataset   136 kJ/mol of formula units

Cell: 4.9483 4.9483 4.9483 Å, 90.00 90.00 90.00°
Fractional coordinates of all 5 atoms:
Y 0.5000 0.5000 0.5000
As 0.5000 0.0000 0.0000
As 0.0000 0.0000 0.5000
As 0.0000 0.5000 0.0000
Na 0.0000 0.0000 0.0000

***

Entry 3:
DFT (GGA-PBE) results for Na3YAs after structural relaxation.

Output
Total magnetization   1.0 μB/f.u.
Mass density   2.3 g cm⁻³
ΔH_f (0 K)   1.3 eV per formula unit
Energy above the most stable polymorph in this dataset   0 kJ/mol of formula units

Cell: 5.5265 5.5265 5.5265 Å, 90.00 90.00 90.00°
Site moments in Bohr magnetons follow the coordinates.
Fractional coordinates of all 5 atoms:
Na 0.0000 0.0000 0.5000  0.01
Na 0.5000 0.0000 0.0000  0.00
Na 0.0000 0.5000 0.0000  0.00
Y 0.5000 0.5000 0.5000  0.44
As 0.0000 0.0000 0.0000  -0.03

***

Entry 4:
DFT (GGA-PBE) results for NaYAs2 after structural relaxation.

Output
Total magnetization   0.0 μB/f.u.
Mass density   4.6 g cm⁻³
ΔH_f (0 K)   -2.2 eV per formula unit
Energy above the most stable polymorph in this dataset   29 kJ/mol of formula units

Cell: 7.7608 7.7608 6.3102 Å, 52.05 52.05 90.00°
Fractional coordinates of all 8 atoms:
Y 0.7500 0.2500 0.5000
Y 0.0000 0.0000 0.0000
As 0.1288 0.6250 0.2500
As 0.3750 0.3788 0.7500
As 0.6212 0.1250 0.2500
As 0.8750 0.8712 0.7500
Na 0.2500 0.7500 0.5000
Na 0.5000 0.5000 0.0000

***

Entry 5:
DFT (GGA-PBE) results for NaYAs3 after structural relaxation.

Output
Total magnetization   0.0 μB/f.u.
Mass density   3.4 g cm⁻³
ΔH_f (0 K)   0.1 eV per formula unit
Energy above the most stable polymorph in this dataset   0 kJ/mol of formula units

Cell: 5.4602 5.4602 5.4602 Å, 90.00 90.00 90.00°
Fractional coordinates of all 5 atoms:
Na 0.5000 0.5000 0.5000
As 0.0000 0.0000 0.5000
As 0.5000 0.0000 0.0000
As 0.0000 0.5000 0.0000
Y 0.0000 0.0000 0.0000

***

Entry 6:
DFT (GGA-PBE) results for Na2YAs after structural relaxation.

Output
Total magnetization   0.0 μB/f.u.
Mass density   3.2 g cm⁻³
ΔH_f (0 K)   -1.5 eV per formula unit

Cell: 4.1645 4.1645 12.8493 Å, 80.67 80.67 90.00°
Fractional coordinates of all 8 atoms:
Na 0.3750 0.3962 0.7500
Na 0.1462 0.6250 0.2500
Na 0.8750 0.8538 0.7500
Na 0.6038 0.1250 0.2500
As 0.5000 0.5000 0.0000
As 0.2500 0.7500 0.5000
Y 0.7500 0.2500 0.5000
Y 0.0000 0.0000 0.0000

***

Entry 7:
DFT (GGA-PBE) results for Na3YAs after structural relaxation.

Output
Total magnetization   1.0 μB/f.u.
Mass density   1.7 g cm⁻³
ΔH_f (0 K)   6.0 eV per formula unit
Energy above the most stable polymorph in this dataset   449 kJ/mol of formula units

Cell: 6.1020 6.1020 6.1020 Å, 90.00 90.00 90.00°
Site moments in Bohr magnetons follow the coordinates.
Fractional coordinates of all 5 atoms:
Na 0.0000 0.5000 0.0000  0.04
Na 0.0000 0.0000 0.5000  0.04
Na 0.5000 0.0000 0.0000  0.04
As 0.5000 0.5000 0.5000  -0.40
Y 0.0000 0.0000 0.0000  0.81

***

Entry 8:
DFT (GGA-PBE) results for NaY2As after structural relaxation.

Output
Total magnetization   0.0 μB/f.u.
Mass density   3.8 g cm⁻³
ΔH_f (0 K)   -1.0 eV per formula unit

Cell: 8.4058 8.4058 6.8642 Å, 52.24 52.24 90.00°
Fractional coordinates of all 8 atoms:
Y 0.6795 0.1250 0.2500
Y 0.8750 0.9295 0.7500
Y 0.3750 0.3205 0.7500
Y 0.0705 0.6250 0.2500
As 0.0000 0.0000 0.0000
As 0.7500 0.2500 0.5000
Na 0.2500 0.7500 0.5000
Na 0.5000 0.5000 0.0000

***

Entry 9:
DFT (GGA-PBE) results for NaY2ZrAs after structural relaxation.

Output
Total magnetization   0.0 μB/f.u.
Mass density   4.4 g cm⁻³
ΔH_f (0 K)   4.0 eV per formula unit

Cell: 5.3550 4.7893 5.3550 Å, 90.00 90.00 90.00°
Fractional coordinates of all 5 atoms:
As 0.0000 0.5000 0.0000
Y 0.5000 0.0000 0.0000
Y 0.0000 0.0000 0.5000
Zr 0.5000 0.5000 0.5000
Na 0.0000 0.0000 0.0000

***

Entry 10:
DFT (GGA-PBE) results for NaZn4As3 after structural relaxation.

Output
Total magnetization   0.0 μB/f.u.
Mass density   5.0 g cm⁻³
ΔH_f (0 K)   -2.0 eV per formula unit
Energy above the most stable polymorph in this dataset   0 kJ/mol of formula units

Cell: 11.2454 11.2454 11.2454 Å, 21.53 21.53 21.53°
Fractional coordinates of all 8 atoms:
Zn 0.0903 0.0903 0.0903
Zn 0.3011 0.3011 0.3011
Zn 0.9097 0.9097 0.9097
Zn 0.6989 0.6989 0.6989
As 0.7740 0.7740 0.7740
As 0.0000 0.0000 0.0000
As 0.2260 0.2260 0.2260
Na 0.5000 0.5000 0.5000

***

Entry 11:
DFT (GGA-PBE) results for Na3Zn4As4 after structural relaxation.

Output
Total magnetization   0.0 μB/f.u.
Mass density   4.7 g cm⁻³
ΔH_f (0 K)   -3.1 eV per formula unit

Cell: 4.8565 6.4779 8.1420 Å, 113.44 107.35 90.00°
Fractional coordinates of all 11 atoms:
Zn 0.3288 0.1310 0.6576
Zn 0.3288 0.5266 0.6576
Zn 0.6712 0.4734 0.3424
Zn 0.6712 0.8690 0.3424
Na 0.0000 0.5000 0.0000
Na 0.8857 0.8857 0.7715
Na 0.1143 0.1143 0.2285
As 0.5000 0.1959 0.0000
As 0.7838 0.2838 0.5675
As 0.5000 0.8041 0.0000
As 0.2162 0.7162 0.4325

***

Entry 12:
DFT (GGA-PBE) results for Na2ZnAs2 after structural relaxation.

Output
Total magnetization   0.0 μB/f.u.
Mass density   3.9 g cm⁻³
ΔH_f (0 K)   0.1 eV per formula unit
Energy above the most stable polymorph in this dataset   180 kJ/mol of formula units

Cell: 9.0373 9.0373 2.7378 Å, 90.00 90.00 90.00°
Fractional coordinates of all 10 atoms:
Na 0.8727 0.6273 0.0000
Na 0.3727 0.8727 0.0000
Na 0.6273 0.1273 0.0000
Na 0.1273 0.3727 0.0000
As 0.8296 0.3296 0.5000
As 0.1704 0.6704 0.5000
As 0.3296 0.1704 0.5000
As 0.6704 0.8296 0.5000
Zn 0.0000 0.0000 0.0000
Zn 0.5000 0.5000 0.0000

***

Entry 13:
DFT (GGA-PBE) results for Na5Zn4As4 after structural relaxation.

Output
Total magnetization   0.0 μB/f.u.
Mass density   4.0 g cm⁻³
ΔH_f (0 K)   -4.5 eV per formula unit

Cell: 4.1285 8.5428 8.5428 Å, 86.65 76.02 76.02°
Fractional coordinates of all 13 atoms:
Zn 0.1101 0.4765 0.3033
Zn 0.4134 0.6967 0.4765
Zn 0.5866 0.3033 0.5235
Zn 0.8899 0.5235 0.6967
As 0.2694 0.6809 0.7803
As 0.7306 0.3191 0.2197
As 0.0497 0.2197 0.6809
As 0.9503 0.7803 0.3191
Na 0.0000 0.0000 0.0000
Na 0.2973 0.0681 0.3373
Na 0.7027 0.9319 0.6627
Na 0.6346 0.6627 0.0681
Na 0.3654 0.3373 0.9319